Record 1
CaMnAg: relaxed, PBE-GGA.

```
3
Lattice="4.895 0.000 0.000 2.448 4.239 0.000 2.448 1.413 3.997" Properties=species:S:1:pos:R:3 pbc="T T T"
Ca 7.343 4.239 2.998
Mn 0.000 0.000 0.000
Ag 4.895 2.826 1.998
```

The total magnetic moment is 4.4 μB/cell. Its energy of formation is 224 kJ/mol of formula units. Its space-group type is F-43m (216).



Record 2
CaMnAg2: relaxed, PBE-GGA.

```
4
Lattice="-3.614 -0.172 -3.099 2.872 -1.982 -3.244 -0.890 -3.287 1.217" Properties=species:S:1:pos:R:3 pbc="T T T"
Ca -2.252 -1.729 -0.941
Mn 0.991 -2.634 -1.013
Ag 0.000 0.000 0.000
Ag -0.371 -1.077 -3.171
```

The total magnetic moment is 3.9 μB/cell. Its energy of formation is 45 kJ/mol of formula units. Its space-group type is P4/mmm (123).



Record 3
Ca2MnAg: relaxed, PBE-GGA.

```
4
Lattice="-4.790 2.922 -2.011 -5.248 -1.983 2.012 5.207 1.533 2.462" Properties=species:S:1:pos:R:3 pbc="T T T"
Ca 0.000 0.000 0.000
Ca -2.530 0.010 2.238
Mn -5.019 0.470 0.001
Ag -2.301 2.462 0.226
```

The total magnetic moment is 4.0 μB/cell. Its energy of formation is 89 kJ/mol of formula units. Its space-group type is I-4m2 (119).



Record 4
CaMnAg2: relaxed, PBE-GGA.

```
4
Lattice="9.310 -0.009 -0.005 8.728 3.241 -0.005 8.728 1.564 2.839" Properties=species:S:1:pos:R:3 pbc="T T T"
Ca 6.692 1.199 0.707
Mn 20.075 3.597 2.121
Ag 0.232 0.042 0.025
Ag 13.151 2.357 1.390
```

The total magnetic moment is 4.3 μB/cell. Its energy of formation is 121 kJ/mol of formula units. Its space-group type is R-3m (166).



Record 5
CaMnAg2: relaxed, PBE-GGA.

```
4
Lattice="3.503 0.000 0.000 0.000 3.416 0.004 0.000 3.387 6.954" Properties=species:S:1:pos:R:3 pbc="T T T"
Ca 1.752 1.701 1.739
Mn 1.752 5.102 5.218
Ag 0.000 3.389 6.657
Ag 0.000 3.399 3.776
```

The total magnetic moment is 4.2 μB/cell. Its energy of formation is 19 kJ/mol of formula units. Its space-group type is P2/m (10).



Record 6
CaMnAg: relaxed, PBE-GGA.

```
3
Lattice="-0.255 -5.936 -0.086 1.117 -3.794 -4.435 1.984 4.749 2.970" Properties=species:S:1:pos:R:3 pbc="T T T"
Ca 0.290 -3.280 -1.524
Mn 0.546 -6.165 -2.865
Ag 0.025 -0.286 -0.133
```

The total magnetic moment is 4.3 μB/cell. Its energy of formation is 58 kJ/mol of formula units. Its space-group type is I4mm (107).



Record 7
CaMnAg: relaxed, PBE-GGA.

```
3
Lattice="4.799 0.000 0.000 2.399 4.156 0.000 2.399 1.385 3.918" Properties=species:S:1:pos:R:3 pbc="T T T"
Ca 0.000 0.000 0.000
Mn 4.799 2.770 1.959
Ag 7.198 4.156 2.939
```

The total magnetic moment is 4.3 μB/cell. Its energy of formation is 105 kJ/mol of formula units. Its space-group type is F-43m (216).



Record 8
CaMnAg2: relaxed, PBE-GGA.

```
4
Lattice="4.844 0.000 0.000 2.422 4.195 0.000 2.422 1.398 3.955" Properties=species:S:1:pos:R:3 pbc="T T T"
Ca 4.844 2.797 1.977
Mn 7.266 4.195 2.966
Ag 0.000 0.000 0.000
Ag 2.422 1.398 0.989
```

The total magnetic moment is 3.8 μB/cell. Its energy of formation is 58 kJ/mol of formula units. Its space-group type is F-43m (216).



Record 9
Ca2MnAg: relaxed, PBE-GGA.

```
4
Lattice="9.645 0.050 0.030 8.936 3.630 0.030 8.936 1.770 3.169" Properties=species:S:1:pos:R:3 pbc="T T T"
Ca 27.515 5.449 3.228
Ca 13.760 2.725 1.615
Mn 6.879 1.362 0.807
Ag 20.638 4.087 2.421
```

The total magnetic moment is 3.5 μB/cell. Its energy of formation is 127 kJ/mol of formula units. Its space-group type is R-3m (166).



Record 10
CaMn4Ag: relaxed, PBE-GGA.

```
6
Lattice="-2.155 -3.952 2.457 -3.943 -2.498 -2.124 0.639 -4.773 -1.764" Properties=species:S:1:pos:R:3 pbc="T T T"
Ca 0.000 0.000 0.000
Mn -3.124 -6.183 0.689
Mn -1.730 -6.593 -1.417
Mn -4.016 -5.458 -1.597
Mn -2.048 -4.212 -0.537
Ag -4.094 -8.417 -1.073
```

The total magnetic moment is 10.4 μB/cell. Its energy of formation is 278 kJ/mol of formula units. Its space-group type is F-43m (216).



Record 11
Ca2MnAg: relaxed, PBE-GGA.

```
4
Lattice="5.154 0.000 0.000 2.577 4.463 0.000 2.577 1.488 4.208" Properties=species:S:1:pos:R:3 pbc="T T T"
Ca 0.000 0.000 0.000
Ca 2.577 1.488 1.052
Mn 7.731 4.463 3.156
Ag 5.154 2.976 2.104
```

The total magnetic moment is 4.1 μB/cell. Its energy of formation is 103 kJ/mol of formula units. Its space-group type is F-43m (216).



Record 12
Ca2MnAg: relaxed, PBE-GGA.

```
4
Lattice="6.332 0.010 0.008 3.146 5.495 -0.008 -4.232 -3.624 3.007" Properties=species:S:1:pos:R:3 pbc="T T T"
Ca 9.241 5.367 0.000
Ca 1.952 2.385 1.499
Mn 5.118 2.973 0.000
Ag 3.151 -0.587 1.508
```

The total magnetic moment is 3.7 μB/cell. Its energy of formation is 57 kJ/mol of formula units. Its space-group type is Imm2 (44).



Record 13
CaMnAg2: relaxed, PBE-GGA.

```
4
Lattice="-0.867 3.342 1.015 -3.403 -1.044 0.532 1.443 -1.522 6.244" Properties=species:S:1:pos:R:3 pbc="T T T"
Ca 0.705 -0.744 3.049
Mn -0.968 -0.082 5.822
Ag 1.418 -1.496 6.133
Ag -1.816 0.813 2.152
```

The total magnetic moment is 4.2 μB/cell. Its energy of formation is 50 kJ/mol of formula units. Its space-group type is P4mm (99).



Record 14
CaMnAg2: relaxed, PBE-GGA.

```
4
Lattice="5.338 0.029 0.000 1.836 5.013 0.000 -3.587 -2.521 3.046" Properties=species:S:1:pos:R:3 pbc="T T T"
Ca 3.587 2.521 0.000
Mn 2.669 0.015 1.523
Ag 0.000 0.000 0.000
Ag 0.918 2.506 1.523
```

The total magnetic moment is 4.2 μB/cell. Its energy of formation is 52 kJ/mol of formula units. Its space-group type is I-4m2 (119).